DFT (GGA-PBE) results for a relaxed Ta2TeW crystal.

The structure in extended XYZ format:
```
4
Lattice="-0.603 -2.735 -1.227 2.067 -0.145 2.248 -6.518 -1.218 5.915" Properties=species:S:1:pos:R:3 pbc="T T T"
Ta -6.422 -1.200 5.828
Te -0.897 -1.744 1.989
Ta -3.355 -0.627 3.044
W -4.156 -2.353 4.947
```

Output
**Total energy**: -9.615 eV/atom
**Formation energy from raw total energies**: 32.4 kJ per mole of atoms

DFT (GGA-PBE) results for a relaxed TaTeW4 crystal.

The structure in extended XYZ format:
```
6
Lattice="0.000 3.793 3.793 3.793 0.000 3.793 3.793 3.793 0.000" Properties=species:S:1:pos:R:3 pbc="T T T"
W 2.847 2.847 2.847
Te 0.000 0.000 0.000
Ta 5.690 5.690 5.690
W 2.847 4.739 4.739
W 4.739 4.739 2.847
W 4.739 2.847 4.739
```

Output
**Total energy**: -10.599 eV/atom
**Formation energy from raw total energies**: 51.7 kJ per mole of atoms

DFT (GGA-PBE) results for a relaxed Ta2TeW crystal.

The structure in extended XYZ format:
```
4
Lattice="4.679 0.000 0.000 0.000 4.679 0.000 0.000 0.000 3.369" Properties=species:S:1:pos:R:3 pbc="T T T"
Te 2.339 0.000 1.685
W 0.000 2.339 1.685
Ta 2.339 2.339 0.000
Ta 0.000 0.000 0.000
```

Output
**Total energy**: -9.564 eV/atom
**Formation energy from raw total energies**: 37.2 kJ per mole of atoms

DFT (GGA-PBE) results for a relaxed Ta4TeW2 crystal.

The structure in extended XYZ format:
```
7
Lattice="4.913 0.000 0.000 0.000 4.913 0.000 2.456 2.456 6.698" Properties=species:S:1:pos:R:3 pbc="T T T"
W 2.456 2.456 1.473
Ta 2.456 0.000 0.000
Ta 0.000 2.456 0.000
Ta 2.456 2.456 3.974
Ta 4.913 4.913 2.724
Te 0.000 0.000 0.000
W 4.913 4.913 5.225
```

Output
**Total energy**: -9.181 eV/atom
**Formation energy from raw total energies**: 168.0 kJ per mole of atoms